(1)
# BaZr2Be

A relaxed structure of BaZr2Be (GGA-PBE, Alexandria).

abc: 3.5261 3.5261 8.4047
angles: 90.00 90.00 90.00
Closest atoms and distances in Å follow each position.
Atoms (fractional coordinates):
Ba 0.0000 0.0000 0.0000  1 Zr 3.41, 4 Be 3.49, 4 Ba 3.53
Zr 0.0000 0.0000 0.4060  4 Be 2.68
Zr 0.5000 0.5000 0.6221  1 Be 2.79, 4 Zr 3.08
Be 0.5000 0.5000 0.2904  5 Zr 2.68-2.79

Values from the calculation:
D(E_F): 0.792 states/eV/atom
Symmetry: No. 99



(2)
# BaZr2Be

A relaxed structure of BaZr2Be (GGA-PBE, Alexandria).

abc: 4.5259 4.5259 4.6885
angles: 90.00 90.00 90.00
Closest atoms and distances in Å follow each position.
Atoms (fractional coordinates):
Ba 0.0000 0.0000 0.0000  4 Be 3.20, 8 Zr 3.26
Zr 0.0000 0.5000 0.5000  4 Zr 3.20, 4 Ba 3.26, 4 Be 3.26
Zr 0.5000 0.0000 0.5000  4 Zr 3.20, 4 Ba 3.26, 4 Be 3.26
Be 0.5000 0.5000 0.0000  4 Ba 3.20, 8 Zr 3.26

Values from the calculation:
D(E_F): 1.514 states/eV/atom
Symmetry: No. 123



(3)
# Ba2ZrBe

A relaxed structure of Ba2ZrBe (GGA-PBE, Alexandria).

abc: 11.0656 11.0656 11.0656
angles: 19.49 19.49 19.49
Closest atoms and distances in Å follow each position.
Atoms (fractional coordinates):
Ba 0.2422 0.2422 0.2422  3 Be 3.28
Ba 0.7578 0.7578 0.7578  3 Be 3.28
Zr 0.0000 0.0000 0.0000  6 Ba 3.67, 6 Zr 3.75
Be 0.5000 0.5000 0.5000  6 Ba 3.28

Values from the calculation:
D(E_F): 0.942 states/eV/atom
Symmetry: No. 166



(4)
# BaZrBe2

A relaxed structure of BaZrBe2 (GGA-PBE, Alexandria).

abc: 6.7454 6.7454 6.7454
angles: 148.57 144.13 48.43
Closest atoms and distances in Å follow each position.
Atoms (fractional coordinates):
Ba 0.0000 0.0000 0.0000  6 Be 3.31-3.55, 2 Zr 3.57, 2 Ba 3.65
Zr 0.7359 0.2359 0.5000  6 Be 2.52-2.79
Be 0.2656 0.7656 0.5000  2 Be 2.11
Be 0.3517 0.3517 0.0000  2 Be 2.11

Values from the calculation:
D(E_F): 0.817 states/eV/atom
Offset from the most stable computed form: 0.1759 eV/atom
Symmetry: No. 44



(5)
# BaZr3Be

A relaxed structure of BaZr3Be (GGA-PBE, Alexandria).

abc: 5.0153 5.0153 5.0153
angles: 90.00 90.00 90.00
Closest atoms and distances in Å follow each position.
Atoms (fractional coordinates):
Ba 0.0000 0.0000 0.0000  12 Zr 3.55
Zr 0.0000 0.5000 0.5000  2 Be 2.51
Zr 0.5000 0.0000 0.5000  2 Be 2.51
Zr 0.5000 0.5000 0.0000  2 Be 2.51
Be 0.5000 0.5000 0.5000  6 Zr 2.51

Values from the calculation:
D(E_F): 1.183 states/eV/atom
Offset from the most stable computed form: 0.0000 eV/atom
Symmetry: No. 221



(6)
# Ba3Bi2

A relaxed structure of Ba3Bi2 (GGA-PBE, Alexandria).

abc: 9.3851 9.3851 9.3851
angles: 57.43 57.43 57.43
Closest atoms and distances in Å follow each position.
Atoms (fractional coordinates):
Ba 0.0406 0.7500 0.4594  4 Bi 3.51-3.61
Ba 0.2500 0.5406 0.9594  4 Bi 3.51-3.61
Ba 0.4594 0.0406 0.7500  4 Bi 3.51-3.61
Ba 0.5406 0.9594 0.2500  4 Bi 3.51-3.61
Ba 0.7500 0.4594 0.0406  4 Bi 3.51-3.61
Ba 0.9594 0.2500 0.5406  4 Bi 3.51-3.61
Bi 0.1438 0.1438 0.1438  6 Ba 3.51-3.61
Bi 0.3562 0.3562 0.3562  6 Ba 3.51-3.61
Bi 0.6438 0.6438 0.6438  6 Ba 3.51-3.61
Bi 0.8562 0.8562 0.8562  6 Ba 3.51-3.61

Values from the calculation:
Offset from the most stable computed form: 0.0415 eV/atom
Symmetry: No. 167



(7)
# Ba5Bi

A relaxed structure of Ba5Bi (GGA-PBE, Alexandria).

abc: 9.9147 9.9147 6.1322
angles: 90.00 90.00 149.01
Closest atoms and distances in Å follow each position.
Atoms (fractional coordinates):
Ba 0.0000 0.0000 0.0000  4 Bi 4.05, 8 Ba 4.11-4.13
Ba 0.1431 0.8569 0.5000  2 Bi 3.81, 6 Ba 4.08-4.11
Ba 0.3339 0.6661 0.0000  8 Ba 4.08-4.16, 2 Bi 4.41
Ba 0.6661 0.3339 0.0000  8 Ba 4.08-4.16, 2 Bi 4.41
Ba 0.8569 0.1431 0.5000  2 Bi 3.81, 6 Ba 4.08-4.11
Bi 0.5000 0.5000 0.5000  8 Ba 3.81-4.05

Values from the calculation:
D(E_F): 0.986 states/eV/atom
Symmetry: No. 65



(8)
# Ba11Bi10

A relaxed structure of Ba11Bi10 (GGA-PBE, Alexandria).

abc: 13.7370 13.7370 13.7370
angles: 121.33 121.33 87.71
Closest atoms and distances in Å follow each position.
Atoms (fractional coordinates):
Ba 0.0584 0.3090 0.7495  6 Bi 3.56-3.95
Ba 0.1045 0.4358 0.3313  7 Bi 3.59-3.87
Ba 0.1045 0.7732 0.6687  7 Bi 3.59-3.87
Ba 0.1549 0.1549 0.0000  8 Bi 3.82-4.03
Ba 0.2268 0.8955 0.3313  7 Bi 3.59-3.87
Ba 0.3090 0.0584 0.7495  6 Bi 3.56-3.95
Ba 0.3090 0.5595 0.2505  6 Bi 3.56-3.95
Ba 0.3331 0.3331 0.6663  2 Bi 3.41
Ba 0.3331 0.6669 0.0000  2 Bi 3.41
Ba 0.4358 0.1045 0.3313  7 Bi 3.59-3.87
Ba 0.4405 0.6910 0.7495  6 Bi 3.56-3.95
Ba 0.5595 0.3090 0.2505  6 Bi 3.56-3.95
Ba 0.5642 0.8955 0.6687  7 Bi 3.59-3.87
Ba 0.6669 0.3331 0.0000  2 Bi 3.41
Ba 0.6669 0.6669 0.3337  2 Bi 3.41
Ba 0.6910 0.4405 0.7495  6 Bi 3.56-3.95
Ba 0.6910 0.9416 0.2505  6 Bi 3.56-3.95
Ba 0.7732 0.1045 0.6687  7 Bi 3.59-3.87
Ba 0.8451 0.8451 0.0000  8 Bi 3.82-4.03
Ba 0.8955 0.2268 0.3313  7 Bi 3.59-3.87
Ba 0.8955 0.5642 0.6687  7 Bi 3.59-3.87
Ba 0.9416 0.6910 0.2505  6 Bi 3.56-3.95
Bi 0.0306 0.0306 0.4201  1 Bi 3.18
Bi 0.0306 0.6105 0.0000  1 Bi 3.18
Bi 0.1196 0.1196 0.2392  2 Bi 3.22
Bi 0.1196 0.8804 0.0000  2 Bi 3.22
Bi 0.1420 0.5000 0.6420  6 Ba 3.41-3.62, 1 Bi 3.82
Bi 0.2500 0.7500 0.5000  8 Ba 3.56-3.67
Bi 0.3822 0.3822 0.0000  8 Ba 3.67-3.94
Bi 0.3895 0.3895 0.4201  1 Bi 3.18
Bi 0.3895 0.9694 0.0000  1 Bi 3.18
Bi 0.5000 0.1420 0.6420  6 Ba 3.41-3.62, 1 Bi 3.82
Bi 0.5000 0.8580 0.3580  6 Ba 3.41-3.62, 1 Bi 3.82
Bi 0.6105 0.0306 0.0000  1 Bi 3.18
Bi 0.6105 0.6105 0.5799  1 Bi 3.18
Bi 0.6178 0.6178 0.0000  8 Ba 3.67-3.94
Bi 0.7500 0.2500 0.5000  8 Ba 3.56-3.67
Bi 0.8580 0.5000 0.3580  6 Ba 3.41-3.62, 1 Bi 3.82
Bi 0.8804 0.1196 0.0000  2 Bi 3.22
Bi 0.8804 0.8804 0.7608  2 Bi 3.22
Bi 0.9694 0.3895 0.0000  1 Bi 3.18
Bi 0.9694 0.9694 0.5799  1 Bi 3.18

Values from the calculation:
D(E_F): 0.504 states/eV/atom
Symmetry: No. 139



(9)
# Ba5Bi2

A relaxed structure of Ba5Bi2 (GGA-PBE, Alexandria).

abc: 10.3706 10.3706 9.5039
angles: 96.90 96.90 44.60
Closest atoms and distances in Å follow each position.
Atoms (fractional coordinates):
Ba 0.1017 0.8983 0.7500  4 Bi 3.58-3.60
Ba 0.1412 0.3002 0.3193  3 Bi 3.63-3.79
Ba 0.2923 0.5269 0.0758  3 Bi 3.62-4.04
Ba 0.3002 0.1412 0.8193  3 Bi 3.63-3.79
Ba 0.4731 0.7077 0.4242  3 Bi 3.62-4.04
Ba 0.5269 0.2923 0.5758  3 Bi 3.62-4.04
Ba 0.6998 0.8588 0.1807  3 Bi 3.63-3.79
Ba 0.7077 0.4731 0.9242  3 Bi 3.62-4.04
Ba 0.8588 0.6998 0.6807  3 Bi 3.63-3.79
Ba 0.8983 0.1017 0.2500  4 Bi 3.58-3.60
Bi 0.0864 0.7022 0.4169  7 Ba 3.58-3.79
Bi 0.2978 0.9136 0.0831  7 Ba 3.58-3.79
Bi 0.7022 0.0864 0.9169  7 Ba 3.58-3.79
Bi 0.9136 0.2978 0.5831  7 Ba 3.58-3.79

Values from the calculation:
D(E_F): 0.770 states/eV/atom
Symmetry: No. 15



(10)
# Ba3Bi5

A relaxed structure of Ba3Bi5 (GGA-PBE, Alexandria).

abc: 13.6516 8.8762 11.5543
angles: 82.74 40.16 57.10
Closest atoms and distances in Å follow each position.
Atoms (fractional coordinates):
Ba 0.0000 0.0000 0.0000  8 Bi 3.64-3.82
Ba 0.2500 0.2500 0.2500  8 Bi 3.64-3.82
Ba 0.3770 0.6481 0.2864  9 Bi 3.62-3.98
Ba 0.5615 0.9636 0.6019  9 Bi 3.62-3.98
Ba 0.6481 0.3770 0.6885  9 Bi 3.62-3.98
Ba 0.9636 0.5615 0.8730  9 Bi 3.62-3.98
Bi 0.0066 0.7955 0.3817  3 Bi 3.17-3.38
Bi 0.1523 0.5255 0.0262  3 Bi 3.17-3.38
Bi 0.2238 0.9540 0.0977  3 Bi 3.17-3.38
Bi 0.4338 0.8683 0.4545  3 Bi 3.17-3.38
Bi 0.4468 0.4468 0.5532  2 Bi 3.29
Bi 0.5255 0.1523 0.2960  3 Bi 3.17-3.38
Bi 0.6968 0.6968 0.8032  2 Bi 3.29
Bi 0.7955 0.0066 0.8162  3 Bi 3.17-3.38
Bi 0.8683 0.4338 0.2434  3 Bi 3.17-3.38
Bi 0.9540 0.2238 0.7245  3 Bi 3.17-3.38

Values from the calculation:
D(E_F): 0.464 states/eV/atom
Symmetry: No. 43



(11)
# Ba3Bi2

A relaxed structure of Ba3Bi2 (GGA-PBE, Alexandria).

abc: 6.5997 6.5997 6.5997
angles: 90.00 90.00 90.00
Closest atoms and distances in Å follow each position.
Atoms (fractional coordinates):
Ba 0.0000 0.0000 0.5000  2 Bi 3.30
Ba 0.0000 0.5000 0.0000  2 Bi 3.30
Ba 0.5000 0.0000 0.0000  2 Bi 3.30
Bi 0.0000 0.0000 0.0000  6 Ba 3.30
Bi 0.5000 0.5000 0.5000  12 Ba 4.67

Values from the calculation:
D(E_F): 0.014 states/eV/atom
Offset from the most stable computed form: 0.3772 eV/atom
Symmetry: No. 221



The E_form results, record by record, are as follows: 295; 791; 874; 429; 564; -854; -262; -892; -634; -724; -518 meV per atom.